Record 1
The following is a DFT calculation (PBE) of TlCuP after structural relaxation.

```
TlCuP
1.0
4.387 0.000 0.000
2.194 3.800 0.000
2.194 1.267 3.582
Tl Cu P
1 1 1
direct
0.500 0.500 0.500 Tl
0.250 0.250 0.250 Cu
0.000 0.000 0.000 P
```

Results
formation energy	0.35	eV/atom
theoretical density	8311	kg/m3
uncorrected energy	-3.61	eV per atom
total moment	0.00	μB per atom
space-group type	F-43m (216)

---

Record 2
The following is a DFT calculation (PBE) of TlCu2P after structural relaxation.

```
TlCu2P
1.0
-3.217 -3.181 1.597
3.403 0.040 3.382
-1.444 2.177 1.427
Cu P Tl
2 1 1
direct
0.000 0.000 0.000 Cu
0.500 0.500 0.000 Cu
0.500 0.000 0.500 P
0.000 0.500 0.500 Tl
```

Results
formation energy	0.47	eV/atom
theoretical density	9064	kg/m3
uncorrected energy	-3.52	eV per atom
total moment	0.00	μB per atom
space-group type	Cmmm (65)

---

Record 3
The following is a DFT calculation (PBE) of TlCu2P after structural relaxation.

```
TlCu2P
1.0
3.146 0.000 0.000
0.000 3.143 0.000
0.000 0.000 6.919
P Tl Cu
1 1 2
direct
0.500 0.500 0.250 P
0.500 0.500 0.750 Tl
0.000 0.000 0.429 Cu
0.000 0.000 0.071 Cu
```

Results
formation energy	0.29	eV/atom
theoretical density	8798	kg/m3
uncorrected energy	-3.70	eV per atom
total moment	0.00	μB per atom
space-group type	P4/mmm (123)

---

Record 4
The following is a DFT calculation (PBE) of TlCu2P after structural relaxation.

```
TlCu2P
1.0
4.217 0.000 0.000
0.000 4.311 -0.158
0.000 0.190 4.701
Cu Tl P
2 1 1
direct
0.000 0.944 0.188 Cu
0.500 0.290 0.275 Cu
0.500 0.820 0.745 Tl
0.000 0.446 0.293 P
```

Results
formation energy	0.10	eV/atom
theoretical density	7032	kg/m3
uncorrected energy	-3.90	eV per atom
total moment	0.00	μB per atom
space-group type	Pm (6)

---

Record 5
The following is a DFT calculation (PBE) of TlCu2P after structural relaxation.

```
TlCu2P
1.0
-3.302 3.478 -1.500
0.580 -1.502 -4.760
-6.596 -3.628 -2.312
Cu Tl P
4 2 2
direct
0.291 0.625 0.250 Cu
0.875 0.709 0.750 Cu
0.375 0.541 0.750 Cu
0.459 0.125 0.250 Cu
0.750 0.250 0.500 Tl
0.000 0.000 0.000 Tl
0.250 0.750 0.500 P
0.500 0.500 0.000 P
```

Results
formation energy	0.09	eV/atom
theoretical density	6783	kg/m3
uncorrected energy	-3.91	eV per atom
total moment	0.00	μB per atom
space-group type	I-42d (122)

---

Record 6
The following is a DFT calculation (PBE) of TlCuP2 after structural relaxation.

```
TlCuP2
1.0
-4.623 -1.636 -0.295
0.176 -3.061 -3.839
2.925 0.030 3.948
P Tl Cu
2 1 1
direct
0.250 0.750 0.500 P
0.000 0.000 0.000 P
0.500 0.500 0.000 Tl
0.750 0.250 0.500 Cu
```

Results
formation energy	0.71	eV/atom
theoretical density	7585	kg/m3
uncorrected energy	-3.61	eV per atom
total moment	0.00	μB per atom
space-group type	I-4m2 (119)